A plane-wave DFT calculation with GGA-PBEsol was carried out for a relaxed structure of TaHgAu2.

Properties
D(E_F)	0.651	states/eV per atom
energy of formation	0.195	eV/atom

Cell lengths 2.828, 5.120, 10.137 Å; angles 90.00, 90.00, 90.00 degrees
Space group Immm (No. 71)
Unique sites:
Ta 0.000 0.000 0.000 [2 per cell]
Hg 0.000 0.000 0.500 [2 per cell]
Au 0.000 0.500 0.264 [4 per cell]